DFT (GGA-PBE) results for a relaxed TcAgPd6 crystal.

Energy of formation from the pure elements in eV per atom: 0.02

extended XYZ file:
```
8
Lattice="-1.466 -0.383 3.666 -2.260 -3.023 -1.220 5.788 -5.048 1.787" Properties=species:S:1:pos:R:3 pbc="T T T"
Pd 3.147 -5.241 0.710
Pd 0.779 -1.510 2.300
Pd 3.543 -3.922 3.153
Pd 0.382 -2.830 -0.143
Pd -1.863 -1.703 1.223
Pd 1.031 -4.227 2.116
Ag 0.000 0.000 0.000
Tc 2.894 -2.524 0.894
```



DFT (GGA-PBE) results for a relaxed LiSiPb crystal.

Energy above the lowest structure with this stoichiometry in meV/atom: 192
E_form (uncorrected) in kcal/mol of atoms: 3.3

extended XYZ file:
```
3
Lattice="5.282 0.025 0.070 2.535 4.634 -0.070 -3.674 -2.723 2.644" Properties=species:S:1:pos:R:3 pbc="T T T"
Si 5.194 3.096 0.000
Pb 2.562 1.527 0.000
Li 0.062 0.037 0.000
```